Record 1
Crystalline MnNbVGaCu at its relaxed geometry. Source: Alexandria, functional PBE-GGA.

Calculated values
Space-group type ... R3m, No. 160
Excess energy over the best structure of this formula in the dataset ... 47 meV/atom

a b c (Å): 4.3583 4.3581 4.9611
angles (deg): 63.88 63.89 59.95
Sites, in units of the cell vectors:
Mn 0.7775 0.1974 0.5450
Nb 0.3977 0.8175 0.6837
Ga 0.9821 0.4018 0.9307
V 0.5954 0.0151 0.0908
Cu 0.1851 0.6053 0.3214

---

Record 2
Crystalline Dy2AlZn3Au4 at its relaxed geometry. Source: Alexandria, functional PBE-GGA.

Calculated values
Space-group type ... P-4m2, No. 115

a b c (Å): 4.1316 4.1316 11.5800
angles (deg): 90.00 90.00 90.00
Sites, in units of the cell vectors:
Zn 0.5000 0.0000 0.8602
Zn 0.0000 0.0000 0.5000
Zn 0.0000 0.5000 0.1398
Dy 0.0000 0.5000 0.7526
Dy 0.5000 0.0000 0.2474
Au 0.5000 0.0000 0.6425
Au 0.0000 0.0000 0.0000
Au 0.0000 0.5000 0.3575
Au 0.5000 0.5000 0.0000
Al 0.5000 0.5000 0.5000

---

Record 3
Crystalline NdGa2Ni2Pd at its relaxed geometry. Source: Alexandria, functional PBE-GGA.

Calculated values
Space-group type ... P4/mmm, No. 123

a b c (Å): 4.6654 4.6654 5.3974
angles (deg): 90.00 90.00 90.00
Sites, in units of the cell vectors:
Ni 0.5000 0.5000 0.7478
Ni 0.5000 0.5000 0.2522
Nd 0.0000 0.0000 0.5000
Pd 0.0000 0.0000 0.0000
Ga 0.5000 0.0000 0.0000
Ga 0.0000 0.5000 0.0000

---

Total moment / μB per formula unit: 0.0; 0.0; 0.0
ΔH_f (0 K) / kJ/mol of formula units: 6; -513; -49